# 1
BiSeBrN2, relaxed, DFT PBE-GGA; energy above the most stable polymorph in this dataset = 0 meV/atom; uncorrected energy = -3.5670 eV per atom; energy relative to the elements, uncorrected = 1.571 eV per atom; symmetry = No. 123
1.0
-1.6732 1.4543 3.8078
-3.5818 -2.4891 -0.6232
2.7182 -4.6558 2.9726
N Bi Br Se
2 1 1 1
direct
0.5000 0.0000 0.0000
0.0000 0.5000 0.0000
0.0000 0.0000 0.0000
0.5000 0.5000 0.5000
0.0000 0.0000 0.5000

---

# 2
Bi2SeBrN, relaxed, DFT PBE-GGA; uncorrected energy = -2.2904 eV per atom; energy relative to the elements, uncorrected = 1.959 eV per atom; symmetry = No. 123
1.0
5.7003 0.0000 0.0000
0.0000 5.7003 0.0000
0.0000 0.0000 4.9020
Br Bi Se N
1 2 1 1
direct
0.0000 0.0000 0.0000
0.0000 0.5000 0.0000
0.5000 0.0000 0.0000
0.0000 0.0000 0.5000
0.5000 0.5000 0.5000

---

# 3
BiSeBrN2, relaxed, DFT PBE-GGA; energy above the most stable polymorph in this dataset = 288 meV/atom; uncorrected energy = -3.2791 eV per atom; energy relative to the elements, uncorrected = 1.859 eV per atom; symmetry = No. 123
1.0
-2.5174 -3.3761 -0.5087
1.1275 -0.2255 -4.0831
3.8994 -3.0955 1.2477
N Br Se Bi
2 1 1 1
direct
0.5000 0.0000 0.0000
0.0000 0.5000 0.0000
0.0000 0.0000 0.0000
0.0000 0.0000 0.5000
0.5000 0.5000 0.5000

---

# 4
BiTe2BrN, relaxed, DFT PBE-GGA; energy above the most stable polymorph in this dataset = 117 meV/atom; uncorrected energy = -2.8325 eV per atom; energy relative to the elements, uncorrected = 1.200 eV per atom; symmetry = No. 123
1.0
5.9191 0.0000 0.0000
0.0000 5.9191 0.0000
0.0000 0.0000 3.7800
N Br Te Bi
1 1 2 1
direct
0.0000 0.0000 0.5000
0.0000 0.0000 0.0000
0.5000 0.0000 0.0000
0.0000 0.5000 0.0000
0.5000 0.5000 0.5000

---

# 5
BiTeBrN2, relaxed, DFT PBE-GGA; energy above the most stable polymorph in this dataset = 0 meV/atom; uncorrected energy = -3.5861 eV per atom; energy relative to the elements, uncorrected = 1.483 eV per atom; symmetry = No. 123
1.0
-1.1325 3.6893 2.1509
-4.1732 -0.4838 -1.3674
-1.3737 -3.6107 5.4699
Te Br N Bi
1 1 2 1
direct
0.0000 0.0000 0.5000
0.5000 0.5000 0.5000
0.5000 0.0000 0.0000
0.0000 0.5000 0.0000
0.0000 0.0000 0.0000

---

# 6
BiTe2BrN, relaxed, DFT PBE-GGA; energy above the most stable polymorph in this dataset = 0 meV/atom; uncorrected energy = -2.9498 eV per atom; energy relative to the elements, uncorrected = 1.083 eV per atom; symmetry = No. 123
1.0
6.1623 0.0000 0.0000
0.0000 6.1623 0.0000
0.0000 0.0000 4.4150
Te Br N Bi
2 1 1 1
direct
0.0000 0.5000 0.0000
0.5000 0.0000 0.0000
0.5000 0.5000 0.5000
0.0000 0.0000 0.5000
0.0000 0.0000 0.0000

---

# 7
BiTeBrN2, relaxed, DFT PBE-GGA; energy above the most stable polymorph in this dataset = 472 meV/atom; uncorrected energy = -3.1137 eV per atom; energy relative to the elements, uncorrected = 1.956 eV per atom; symmetry = No. 123
1.0
4.4226 0.0000 0.0000
0.0000 4.4226 0.0000
0.0000 0.0000 5.4810
Te Bi Br N
1 1 1 2
direct
0.0000 0.0000 0.5000
0.5000 0.5000 0.5000
0.0000 0.0000 0.0000
0.0000 0.5000 0.0000
0.5000 0.0000 0.0000

---

# 8
TiBiBrN2, relaxed, DFT PBE-GGA; uncorrected energy = -4.4082 eV per atom; energy relative to the elements, uncorrected = 1.612 eV per atom; symmetry = No. 123
1.0
4.3074 0.0000 0.0000
0.0000 5.6222 0.0000
0.0000 0.0000 4.3074
N Br Bi Ti
2 1 1 1
direct
0.0000 0.0000 0.5000
0.5000 0.0000 0.0000
0.0000 0.5000 0.0000
0.0000 0.0000 0.0000
0.5000 0.5000 0.5000